# 1
The following is a DFT calculation (PBE) of crystalline AlPbBr2 at its relaxed geometry.

Calculated volume ... 132 Å³ per cell
Polymorph energy (0 for the lowest one) ... 68.7 meV per atom
Space-group type ... Imm2
Size of the total moment ... 0.0000 μB per atom
ΔE_f (raw) ... -0.32 eV/atom

Unit cell a=7.6835 b=7.6835 c=7.6835 alpha=153.39 beta=139.30 gamma=49.30
Fractional positions:
1 Br 0.7933 0.2933 0.5000
2 Br 0.0837 0.0837 0.0000
3 Pb 0.4003 0.4003 0.0000
4 Al 0.2228 0.7228 0.5000

***

# 2
The following is a DFT calculation (PBE) of crystalline Al4PbBr at its relaxed geometry.

Calculated volume ... 134 Å³ per cell
Space-group type ... F-43m
Size of the total moment ... 0.0000 μB per atom
ΔE_f (raw) ... 0.17 eV/atom

Unit cell a=5.7457 b=5.7457 c=5.7457 alpha=60.00 beta=60.00 gamma=60.00
Fractional positions:
1 Al 0.8756 0.3748 0.3748
2 Al 0.3748 0.3748 0.3748
3 Al 0.3748 0.3748 0.8756
4 Al 0.3748 0.8756 0.3748
5 Br 0.7500 0.7500 0.7500
6 Pb 0.0000 0.0000 0.0000

***

# 3
The following is a DFT calculation (PBE) of crystalline AlPbBr2 at its relaxed geometry.

Calculated volume ... 120 Å³ per cell
Polymorph energy (0 for the lowest one) ... 96.1 meV per atom
Space-group type ... R3m
Size of the total moment ... 0.0000 μB per atom
ΔE_f (raw) ... -0.29 eV/atom

Unit cell a=10.1068 b=10.1068 c=10.1068 alpha=21.38 beta=21.38 gamma=21.38
Fractional positions:
1 Br 0.7626 0.7626 0.7626
2 Br 0.9798 0.9798 0.9798
3 Al 0.2556 0.2556 0.2556
4 Pb 0.5019 0.5019 0.5019

***

# 4
The following is a DFT calculation (PBE) of crystalline AlPbBr2 at its relaxed geometry.

Calculated volume ... 109 Å³ per cell
Polymorph energy (0 for the lowest one) ... 133.6 meV per atom
Space-group type ... Immm
Size of the total moment ... 0.0000 μB per atom
ΔE_f (raw) ... -0.26 eV/atom

Unit cell a=6.0765 b=6.0765 c=6.0765 alpha=145.04 beta=120.76 gamma=70.67
Fractional positions:
1 Al 0.2500 0.7500 0.5000
2 Br 0.4593 0.4593 0.0000
3 Br 0.0407 0.0407 0.0000
4 Pb 0.7500 0.2500 0.5000

***

# 5
The following is a DFT calculation (PBE) of crystalline AlPb2Br at its relaxed geometry.

Calculated volume ... 120 Å³ per cell
Polymorph energy (0 for the lowest one) ... 27.4 meV per atom
Space-group type ... Cmm2
Size of the total moment ... 0.0000 μB per atom
ΔE_f (raw) ... -0.05 eV/atom

Unit cell a=3.5143 b=3.5143 c=11.2618 alpha=90.00 beta=90.00 gamma=120.58
Fractional positions:
1 Pb 0.0000 0.0000 0.0195
2 Pb 0.5000 0.5000 0.2808
3 Al 0.0000 0.0000 0.5152
4 Br 0.5000 0.5000 0.6845

***

# 6
The following is a DFT calculation (PBE) of crystalline AlPbBr2 at its relaxed geometry.

Calculated volume ... 130 Å³ per cell
Polymorph energy (0 for the lowest one) ... 0.0 meV per atom
Space-group type ... Cm
Size of the total moment ... 0.0000 μB per atom
ΔE_f (raw) ... -0.39 eV/atom

Unit cell a=6.5228 b=6.5228 c=6.0176 alpha=73.56 beta=73.56 gamma=32.17
Fractional positions:
1 Br 0.9836 0.9836 0.1063
2 Br 0.7584 0.7584 0.7719
3 Pb 0.5832 0.5832 0.5088
4 Al 0.1748 0.1748 0.1130

***

# 7
The following is a DFT calculation (PBE) of crystalline Al2PbBr8 at its relaxed geometry.

Calculated volume ... 910 Å³ per cell
Polymorph energy (0 for the lowest one) ... 0.0 meV per atom
Space-group type ... C2/c
Size of the total moment ... 0.0000 μB per atom
ΔE_f (raw) ... -1.08 eV/atom

Unit cell a=9.4551 b=10.8386 c=11.0808 alpha=70.94 beta=64.75 gamma=64.14
Fractional positions:
1 Br 0.8623 0.0245 0.7602
2 Br 0.6144 0.2402 0.4638
3 Br 0.2292 0.2026 0.4621
4 Br 0.6816 0.7402 0.9638
5 Br 0.6470 0.4755 0.7398
6 Br 0.7708 0.7974 0.5379
7 Br 0.1061 0.7026 0.9621
8 Br 0.2755 0.0366 0.8523
9 Br 0.3856 0.7598 0.5362
10 Br 0.8939 0.2974 0.0379
11 Br 0.1645 0.4634 0.6477
12 Br 0.3530 0.5245 0.2602
13 Br 0.3184 0.2598 0.0362
14 Br 0.1377 0.9755 0.2398
15 Br 0.8355 0.5366 0.3523
16 Br 0.7245 0.9634 0.1477
17 Al 0.1626 0.1457 0.0431
18 Al 0.6486 0.6457 0.5431
19 Al 0.3514 0.3543 0.4569
20 Al 0.8374 0.8543 0.9569
21 Pb 0.9945 0.2500 0.7500
22 Pb 0.0055 0.7500 0.2500

***

# 8
The following is a DFT calculation (PBE) of crystalline AlPb2Br at its relaxed geometry.

Calculated volume ... 111 Å³ per cell
Polymorph energy (0 for the lowest one) ... 60.9 meV per atom
Space-group type ... C2/m
Size of the total moment ... 0.0000 μB per atom
ΔE_f (raw) ... -0.01 eV/atom

Unit cell a=5.6181 b=5.6181 c=3.5054 alpha=90.24 beta=90.24 gamma=89.99
Fractional positions:
1 Pb 0.0000 0.0000 0.0000
2 Pb 0.5000 0.5000 0.0000
3 Br 0.0000 0.5000 0.5000
4 Al 0.5000 0.0000 0.5000